This record from the Alexandria database describes ZnBi2N after structural relaxation. The functional is GGA-PBE.

Structure (CIF):
```
data_ZnBi2N
_chemical_formula_sum 'Zn2 Bi4 N2'
_cell_length_a 5.908
_cell_length_b 5.908
_cell_length_c 7.214
_cell_angle_alpha 65.83
_cell_angle_beta 65.83
_cell_angle_gamma 90.00
_symmetry_space_group_name_H-M 'P 1'
_symmetry_Int_Tables_number 1
_symmetry_space_group_name_Hall 'P 1'
loop_
_atom_site_label
_atom_site_type_symbol
_atom_site_fract_x
_atom_site_fract_y
_atom_site_fract_z
Bi1 Bi 0.875 0.820 0.750
Bi2 Bi 0.375 0.430 0.750
Bi3 Bi 0.570 0.125 0.250
Bi4 Bi 0.180 0.625 0.250
N1 N 0.250 0.750 0.500
N2 N 0.500 0.500 0.000
Zn1 Zn 0.750 0.250 0.500
Zn2 Zn 0.000 0.000 0.000
```

Properties
E_form (uncorrected) = 0.609 eV/atom
E above lowest polymorph = 0.00 eV/f.u.
Raw total energy = -0.274 Ry/atom
Calculated volume = 205.3 Å³/cell

This record from the Alexandria database describes La2ZnCu9 after structural relaxation. The functional is GGA-PBE.

Structure (CIF):
```
data_La2ZnCu9
_chemical_formula_sum 'La2 Zn1 Cu9'
_cell_length_a 5.138
_cell_length_b 5.138
_cell_length_c 8.971
_cell_angle_alpha 73.36
_cell_angle_beta 73.36
_cell_angle_gamma 60.00
_symmetry_space_group_name_H-M 'P 1'
_symmetry_Int_Tables_number 1
_symmetry_space_group_name_Hall 'P 1'
loop_
_atom_site_label
_atom_site_type_symbol
_atom_site_fract_x
_atom_site_fract_y
_atom_site_fract_z
Cu1 Cu 0.422 0.921 0.235
Cu2 Cu 0.422 0.422 0.235
Cu3 Cu 0.667 0.667 0.998
Cu4 Cu 0.079 0.578 0.765
Cu5 Cu 0.578 0.079 0.765
Cu6 Cu 0.921 0.422 0.235
Cu7 Cu 0.578 0.578 0.765
Cu8 Cu 0.500 0.500 0.500
Cu9 Cu 0.333 0.333 0.002
Zn1 Zn 0.000 0.000 0.000
La1 La 0.866 0.866 0.403
La2 La 0.134 0.134 0.597
```

Properties
ΔE_f = -0.007 eV/atom
Raw total energy = -0.294 Ry/atom
Calculated volume = 193.5 Å³/cell

This record from the Alexandria database describes Er6PSe2S3 after structural relaxation. The functional is GGA-PBE.

Structure (CIF):
```
data_Er6PSe2S3
_chemical_formula_sum 'Er6 P1 Se2 S3'
_cell_length_a 6.843
_cell_length_b 6.843
_cell_length_c 6.807
_cell_angle_alpha 99.59
_cell_angle_beta 99.59
_cell_angle_gamma 120.12
_symmetry_space_group_name_H-M 'P 1'
_symmetry_Int_Tables_number 1
_symmetry_space_group_name_Hall 'P 1'
loop_
_atom_site_label
_atom_site_type_symbol
_atom_site_fract_x
_atom_site_fract_y
_atom_site_fract_z
Se1 Se 0.666 0.334 0.000
Se2 Se 0.334 0.666 0.000
Er1 Er 0.772 0.772 0.263
Er2 Er 0.087 0.403 0.262
Er3 Er 0.403 0.087 0.262
Er4 Er 0.228 0.228 0.737
Er5 Er 0.913 0.597 0.738
Er6 Er 0.597 0.913 0.738
S1 S 0.500 0.500 0.500
S2 S 0.828 0.172 0.500
S3 S 0.172 0.828 0.500
P1 P 0.000 0.000 0.000
```

Properties
E_form (uncorrected) = -1.848 eV/atom
Raw total energy = -0.455 Ry/atom
Calculated volume = 259.9 Å³/cell

This record from the Alexandria database describes TlPPbS2 after structural relaxation. The functional is GGA-PBE.

Structure (CIF):
```
data_TlPPbS2
_chemical_formula_sum 'Tl1 P1 Pb1 S2'
_cell_length_a 5.501
_cell_length_b 5.501
_cell_length_c 5.293
_cell_angle_alpha 90.00
_cell_angle_beta 90.00
_cell_angle_gamma 90.00
_symmetry_space_group_name_H-M 'P 1'
_symmetry_Int_Tables_number 1
_symmetry_space_group_name_Hall 'P 1'
loop_
_atom_site_label
_atom_site_type_symbol
_atom_site_fract_x
_atom_site_fract_y
_atom_site_fract_z
Tl1 Tl 0.000 0.000 0.000
S1 S 0.000 0.500 0.000
S2 S 0.500 0.000 0.000
Pb1 Pb 0.500 0.500 0.500
P1 P 0.000 0.000 0.500
```

Properties
E_form (uncorrected) = 0.698 eV/atom
E above lowest polymorph = 0.82 eV/f.u.
Raw total energy = -0.239 Ry/atom
Calculated volume = 160.2 Å³/cell

This record from the Alexandria database describes AcCePuGe after structural relaxation. The functional is GGA-PBE.

Structure (CIF):
```
data_AcCePuGe
_chemical_formula_sum 'Ac1 Ce1 Pu1 Ge1'
_cell_length_a 5.380
_cell_length_b 5.380
_cell_length_c 5.380
_cell_angle_alpha 60.00
_cell_angle_beta 60.00
_cell_angle_gamma 60.00
_symmetry_space_group_name_H-M 'P 1'
_symmetry_Int_Tables_number 1
_symmetry_space_group_name_Hall 'P 1'
loop_
_atom_site_label
_atom_site_type_symbol
_atom_site_fract_x
_atom_site_fract_y
_atom_site_fract_z
Pu1 Pu 0.000 0.000 0.000
Ce1 Ce 0.500 0.500 0.500
Ge1 Ge 0.750 0.750 0.750
Ac1 Ac 0.250 0.250 0.250
```

Properties
ΔE_f = 0.062 eV/atom
Raw total energy = -0.528 Ry/atom
Calculated volume = 110.1 Å³/cell

This record from the Alexandria database describes YHfAlAg after structural relaxation. The functional is GGA-PBE.

Structure (CIF):
```
data_YHfAlAg
_chemical_formula_sum 'Y1 Hf1 Al1 Ag1'
_cell_length_a 4.971
_cell_length_b 4.971
_cell_length_c 4.971
_cell_angle_alpha 60.00
_cell_angle_beta 60.00
_cell_angle_gamma 60.00
_symmetry_space_group_name_H-M 'P 1'
_symmetry_Int_Tables_number 1
_symmetry_space_group_name_Hall 'P 1'
loop_
_atom_site_label
_atom_site_type_symbol
_atom_site_fract_x
_atom_site_fract_y
_atom_site_fract_z
Hf1 Hf 0.250 0.250 0.250
Ag1 Ag 0.000 0.000 0.000
Y1 Y 0.750 0.750 0.750
Al1 Al 0.500 0.500 0.500
```

Properties
ΔE_f = -0.157 eV/atom
Raw total energy = -0.434 Ry/atom
Calculated volume = 86.8 Å³/cell

Number 1 is which compound? ZnBi2N